1.
A plane-wave DFT calculation with GGA-PBE was carried out for a relaxed Ba2Al4TlHg3 crystal.

The structure in CIF format:
```
data_Ba2Al4TlHg3
_chemical_formula_sum 'Ba2 Al4 Tl1 Hg3'
_symmetry_space_group_name_H-M 'P 1'
_symmetry_Int_Tables_number 1
_cell_length_a 4.759
_cell_length_b 4.759
_cell_length_c 11.511
_cell_angle_alpha 90.00
_cell_angle_beta 90.00
_cell_angle_gamma 90.00
loop_
_symmetry_equiv_pos_as_xyz
'x,y,z'
loop_
_atom_site_label
_atom_site_type_symbol
_atom_site_fract_x
_atom_site_fract_y
_atom_site_fract_z
Hg1 Hg 0.000 0.500 0.127
Hg2 Hg 0.000 0.000 0.500
Hg3 Hg 0.500 0.000 0.873
Al1 Al 0.500 0.500 0.000
Al2 Al 0.000 0.000 0.000
Al3 Al 0.000 0.500 0.361
Al4 Al 0.500 0.000 0.639
Ba1 Ba 0.500 0.000 0.247
Ba2 Ba 0.000 0.500 0.753
Tl1 Tl 0.500 0.500 0.500
```

***

2.
A plane-wave DFT calculation with GGA-PBE was carried out for a relaxed Ba2AlTlHg6 crystal.

The structure in CIF format:
```
data_Ba2AlTlHg6
_chemical_formula_sum 'Ba4 Al2 Tl2 Hg12'
_symmetry_space_group_name_H-M 'P 1'
_symmetry_Int_Tables_number 1
_cell_length_a 7.323
_cell_length_b 7.323
_cell_length_c 13.875
_cell_angle_alpha 74.70
_cell_angle_beta 74.70
_cell_angle_gamma 60.00
loop_
_symmetry_equiv_pos_as_xyz
'x,y,z'
loop_
_atom_site_label
_atom_site_type_symbol
_atom_site_fract_x
_atom_site_fract_y
_atom_site_fract_z
Hg1 Hg 0.782 0.782 0.093
Hg2 Hg 0.331 0.923 0.414
Hg3 Hg 0.669 0.669 0.586
Hg4 Hg 0.669 0.077 0.586
Hg5 Hg 0.657 0.218 0.907
Hg6 Hg 0.331 0.331 0.414
Hg7 Hg 0.782 0.343 0.093
Hg8 Hg 0.343 0.782 0.093
Hg9 Hg 0.923 0.331 0.414
Hg10 Hg 0.077 0.669 0.586
Hg11 Hg 0.218 0.218 0.907
Hg12 Hg 0.218 0.657 0.907
Ba1 Ba 0.281 0.281 0.158
Ba2 Ba 0.892 0.892 0.323
Ba3 Ba 0.108 0.108 0.677
Ba4 Ba 0.719 0.719 0.842
Al1 Al 0.500 0.500 0.500
Al2 Al 0.000 0.000 0.000
Tl1 Tl 0.575 0.575 0.274
Tl2 Tl 0.425 0.425 0.726
```

***

3.
A plane-wave DFT calculation with GGA-PBE was carried out for a relaxed Ba2Al4Zn3Hg crystal.

The structure in CIF format:
```
data_Ba2Al4Zn3Hg
_chemical_formula_sum 'Ba2 Al4 Zn3 Hg1'
_symmetry_space_group_name_H-M 'P 1'
_symmetry_Int_Tables_number 1
_cell_length_a 4.583
_cell_length_b 4.583
_cell_length_c 11.243
_cell_angle_alpha 90.00
_cell_angle_beta 90.00
_cell_angle_gamma 90.00
loop_
_symmetry_equiv_pos_as_xyz
'x,y,z'
loop_
_atom_site_label
_atom_site_type_symbol
_atom_site_fract_x
_atom_site_fract_y
_atom_site_fract_z
Ba1 Ba 0.000 0.500 0.753
Ba2 Ba 0.500 0.000 0.247
Hg1 Hg 0.500 0.500 0.500
Al1 Al 0.000 0.000 0.000
Al2 Al 0.500 0.000 0.632
Al3 Al 0.500 0.500 0.000
Al4 Al 0.000 0.500 0.368
Zn1 Zn 0.000 0.000 0.500
Zn2 Zn 0.500 0.000 0.873
Zn3 Zn 0.000 0.500 0.127
```

***

4.
A plane-wave DFT calculation with GGA-PBE was carried out for a relaxed BaHo2Al crystal.

The structure in CIF format:
```
data_BaHo2Al
_chemical_formula_sum 'Ba1 Ho2 Al1'
_symmetry_space_group_name_H-M 'P 1'
_symmetry_Int_Tables_number 1
_cell_length_a 3.638
_cell_length_b 3.638
_cell_length_c 9.910
_cell_angle_alpha 90.00
_cell_angle_beta 90.00
_cell_angle_gamma 90.00
loop_
_symmetry_equiv_pos_as_xyz
'x,y,z'
loop_
_atom_site_label
_atom_site_type_symbol
_atom_site_fract_x
_atom_site_fract_y
_atom_site_fract_z
Ba1 Ba 0.500 0.500 0.500
Al1 Al 0.500 0.500 0.000
Ho1 Ho 0.000 0.000 0.179
Ho2 Ho 0.000 0.000 0.821
```

energy relative to the lowest polymorph listed for this composition: 0 meV/atom

***

5.
A plane-wave DFT calculation with GGA-PBE was carried out for a relaxed BaHo2Al crystal.

The structure in CIF format:
```
data_BaHo2Al
_chemical_formula_sum 'Ba1 Ho2 Al1'
_symmetry_space_group_name_H-M 'P 1'
_symmetry_Int_Tables_number 1
_cell_length_a 3.621
_cell_length_b 3.621
_cell_length_c 11.878
_cell_angle_alpha 81.23
_cell_angle_beta 81.23
_cell_angle_gamma 60.00
loop_
_symmetry_equiv_pos_as_xyz
'x,y,z'
loop_
_atom_site_label
_atom_site_type_symbol
_atom_site_fract_x
_atom_site_fract_y
_atom_site_fract_z
Al1 Al 0.500 0.500 0.500
Ho1 Ho 0.895 0.895 0.314
Ho2 Ho 0.105 0.105 0.686
Ba1 Ba 0.000 0.000 0.000
```

energy relative to the lowest polymorph listed for this composition: 194 meV/atom

***

6.
A plane-wave DFT calculation with GGA-PBE was carried out for a relaxed Ba2Ho2Al3Si5N11O3 crystal.

The structure in CIF format:
```
data_Ba2Ho2Al3Si5N11O3
_chemical_formula_sum 'Ba2 Ho2 Al3 Si5 N11 O3'
_symmetry_space_group_name_H-M 'P 1'
_symmetry_Int_Tables_number 1
_cell_length_a 6.325
_cell_length_b 6.325
_cell_length_c 10.778
_cell_angle_alpha 90.00
_cell_angle_beta 90.00
_cell_angle_gamma 120.00
loop_
_symmetry_equiv_pos_as_xyz
'x,y,z'
loop_
_atom_site_label
_atom_site_type_symbol
_atom_site_fract_x
_atom_site_fract_y
_atom_site_fract_z
N1 N 0.858 0.716 0.779
N2 N 0.707 0.853 0.267
N3 N 0.488 0.976 0.489
N4 N 0.488 0.512 0.489
N5 N 0.024 0.512 0.489
N6 N 0.858 0.142 0.779
N7 N 0.000 0.000 0.537
N8 N 0.147 0.293 0.267
N9 N 0.147 0.853 0.267
N10 N 0.284 0.142 0.779
N11 N 0.000 0.000 0.017
O1 O 0.530 0.059 0.972
O2 O 0.530 0.470 0.972
O3 O 0.941 0.470 0.972
Ba1 Ba 0.667 0.333 0.652
Ba2 Ba 0.333 0.667 0.129
Si1 Si 0.830 0.659 0.929
Si2 Si 0.000 0.000 0.219
Si3 Si 0.341 0.170 0.929
Si4 Si 0.000 0.000 0.712
Si5 Si 0.830 0.170 0.929
Al1 Al 0.679 0.840 0.435
Al2 Al 0.160 0.321 0.435
Al3 Al 0.160 0.840 0.435
Ho1 Ho 0.333 0.667 0.629
Ho2 Ho 0.667 0.333 0.353
```

formation energy (no corrections): -1.13 eV/atom

***

7.
A plane-wave DFT calculation with GGA-PBE was carried out for a relaxed Ba5Ho2ZrAl2O13 crystal.

The structure in CIF format:
```
data_Ba5Ho2ZrAl2O13
_chemical_formula_sum 'Ba10 Ho4 Zr2 Al4 O26'
_symmetry_space_group_name_H-M 'P 1'
_symmetry_Int_Tables_number 1
_cell_length_a 6.028
_cell_length_b 6.028
_cell_length_c 25.223
_cell_angle_alpha 90.00
_cell_angle_beta 90.00
_cell_angle_gamma 120.00
loop_
_symmetry_equiv_pos_as_xyz
'x,y,z'
loop_
_atom_site_label
_atom_site_type_symbol
_atom_site_fract_x
_atom_site_fract_y
_atom_site_fract_z
O1 O 0.163 0.326 0.450
O2 O 0.495 0.505 0.842
O3 O 0.163 0.326 0.050
O4 O 0.674 0.837 0.050
O5 O 0.837 0.674 0.550
O6 O 0.989 0.495 0.342
O7 O 0.837 0.674 0.950
O8 O 0.495 0.505 0.658
O9 O 0.674 0.837 0.450
O10 O 0.011 0.505 0.842
O11 O 0.505 0.011 0.158
O12 O 0.837 0.163 0.950
O13 O 0.326 0.163 0.950
O14 O 0.667 0.333 0.250
O15 O 0.837 0.163 0.550
O16 O 0.989 0.495 0.158
O17 O 0.163 0.837 0.450
O18 O 0.326 0.163 0.550
O19 O 0.011 0.505 0.658
O20 O 0.495 0.989 0.658
O21 O 0.163 0.837 0.050
O22 O 0.505 0.495 0.158
O23 O 0.333 0.667 0.750
O24 O 0.495 0.989 0.842
O25 O 0.505 0.495 0.342
O26 O 0.505 0.011 0.342
Ba1 Ba 0.000 0.000 0.137
Ba2 Ba 0.667 0.333 0.750
Ba3 Ba 0.000 0.000 0.637
Ba4 Ba 0.333 0.667 0.541
Ba5 Ba 0.667 0.333 0.041
Ba6 Ba 0.000 0.000 0.863
Ba7 Ba 0.333 0.667 0.250
Ba8 Ba 0.667 0.333 0.459
Ba9 Ba 0.333 0.667 0.959
Ba10 Ba 0.000 0.000 0.363
Al1 Al 0.333 0.667 0.819
Al2 Al 0.333 0.667 0.681
Al3 Al 0.667 0.333 0.319
Al4 Al 0.667 0.333 0.181
Zr1 Zr 0.000 0.000 0.000
Zr2 Zr 0.000 0.000 0.500
Ho1 Ho 0.667 0.333 0.896
Ho2 Ho 0.667 0.333 0.604
Ho3 Ho 0.333 0.667 0.104
Ho4 Ho 0.333 0.667 0.396
```

formation energy (no corrections): -3.09 eV/atom

***

8.
A plane-wave DFT calculation with GGA-PBE was carried out for a relaxed BaHoAlS4 crystal.

The structure in CIF format:
```
data_BaHoAlS4
_chemical_formula_sum 'Ba2 Ho2 Al2 S8'
_symmetry_space_group_name_H-M 'P 1'
_symmetry_Int_Tables_number 1
_cell_length_a 6.532
_cell_length_b 6.715
_cell_length_c 8.451
_cell_angle_alpha 90.00
_cell_angle_beta 107.51
_cell_angle_gamma 90.00
loop_
_symmetry_equiv_pos_as_xyz
'x,y,z'
loop_
_atom_site_label
_atom_site_type_symbol
_atom_site_fract_x
_atom_site_fract_y
_atom_site_fract_z
Al1 Al 0.236 0.750 0.328
Al2 Al 0.764 0.250 0.672
S1 S 0.453 0.750 0.585
S2 S 0.998 0.497 0.285
S3 S 0.002 0.503 0.715
S4 S 0.002 0.997 0.715
S5 S 0.567 0.250 0.847
S6 S 0.998 0.003 0.285
S7 S 0.547 0.250 0.415
S8 S 0.433 0.750 0.153
Ho1 Ho 0.219 0.250 0.551
Ho2 Ho 0.781 0.750 0.449
Ba1 Ba 0.256 0.250 0.062
Ba2 Ba 0.744 0.750 0.938
```

formation energy (no corrections): -1.76 eV/atom

***

9.
A plane-wave DFT calculation with GGA-PBE was carried out for a relaxed Ba2HoAlS5 crystal.

The structure in CIF format:
```
data_Ba2HoAlS5
_chemical_formula_sum 'Ba4 Ho2 Al2 S10'
_symmetry_space_group_name_H-M 'P 1'
_symmetry_Int_Tables_number 1
_cell_length_a 4.049
_cell_length_b 9.334
_cell_length_c 13.092
_cell_angle_alpha 90.00
_cell_angle_beta 90.00
_cell_angle_gamma 102.53
loop_
_symmetry_equiv_pos_as_xyz
'x,y,z'
loop_
_atom_site_label
_atom_site_type_symbol
_atom_site_fract_x
_atom_site_fract_y
_atom_site_fract_z
Ho1 Ho 0.204 0.409 0.029
Ho2 Ho 0.796 0.591 0.529
Ba1 Ba 0.871 0.743 0.827
Ba2 Ba 0.881 0.762 0.185
Ba3 Ba 0.129 0.257 0.327
Ba4 Ba 0.119 0.238 0.685
S1 S 0.682 0.364 0.882
S2 S 0.955 0.909 0.520
S3 S 0.045 0.091 0.020
S4 S 0.653 0.305 0.509
S5 S 0.703 0.406 0.165
S6 S 0.500 0.000 0.280
S7 S 0.347 0.695 0.009
S8 S 0.318 0.636 0.382
S9 S 0.500 0.000 0.780
S10 S 0.297 0.594 0.665
Al1 Al 0.440 0.880 0.427
Al2 Al 0.560 0.120 0.927
```

formation energy (no corrections): -1.86 eV/atom

***

10.
A plane-wave DFT calculation with GGA-PBE was carried out for a relaxed Ba2HoAlSe5 crystal.

The structure in CIF format:
```
data_Ba2HoAlSe5
_chemical_formula_sum 'Ba4 Ho2 Al2 Se10'
_symmetry_space_group_name_H-M 'P 1'
_symmetry_Int_Tables_number 1
_cell_length_a 4.216
_cell_length_b 9.763
_cell_length_c 13.535
_cell_angle_alpha 90.00
_cell_angle_beta 90.00
_cell_angle_gamma 102.47
loop_
_symmetry_equiv_pos_as_xyz
'x,y,z'
loop_
_atom_site_label
_atom_site_type_symbol
_atom_site_fract_x
_atom_site_fract_y
_atom_site_fract_z
Se1 Se 0.954 0.908 0.527
Se2 Se 0.046 0.092 0.027
Se3 Se 0.349 0.697 0.008
Se4 Se 0.315 0.630 0.378
Se5 Se 0.651 0.303 0.508
Se6 Se 0.499 0.999 0.276
Se7 Se 0.703 0.406 0.167
Se8 Se 0.685 0.370 0.878
Se9 Se 0.501 0.001 0.776
Se10 Se 0.297 0.594 0.667
Al1 Al 0.439 0.877 0.427
Al2 Al 0.561 0.123 0.927
Ba1 Ba 0.127 0.253 0.327
Ba2 Ba 0.121 0.242 0.686
Ba3 Ba 0.873 0.747 0.827
Ba4 Ba 0.879 0.758 0.186
Ho1 Ho 0.205 0.410 0.028
Ho2 Ho 0.795 0.590 0.528
```

formation energy (no corrections): -1.73 eV/atom

***

11.
A plane-wave DFT calculation with GGA-PBE was carried out for a relaxed BaHoAlSe4 crystal.

The structure in CIF format:
```
data_BaHoAlSe4
_chemical_formula_sum 'Ba2 Ho2 Al2 Se8'
_symmetry_space_group_name_H-M 'P 1'
_symmetry_Int_Tables_number 1
_cell_length_a 6.807
_cell_length_b 7.047
_cell_length_c 8.762
_cell_angle_alpha 90.00
_cell_angle_beta 107.45
_cell_angle_gamma 90.00
loop_
_symmetry_equiv_pos_as_xyz
'x,y,z'
loop_
_atom_site_label
_atom_site_type_symbol
_atom_site_fract_x
_atom_site_fract_y
_atom_site_fract_z
Al1 Al 0.767 0.250 0.673
Al2 Al 0.233 0.750 0.327
Ho1 Ho 0.776 0.750 0.447
Ho2 Ho 0.224 0.250 0.553
Se1 Se 0.453 0.750 0.591
Se2 Se 0.990 0.493 0.283
Se3 Se 0.570 0.250 0.855
Se4 Se 0.010 0.507 0.717
Se5 Se 0.430 0.750 0.145
Se6 Se 0.990 0.007 0.283
Se7 Se 0.547 0.250 0.409
Se8 Se 0.010 0.993 0.717
Ba1 Ba 0.246 0.250 0.059
Ba2 Ba 0.754 0.750 0.941
```

formation energy (no corrections): -1.57 eV/atom

***

12.
A plane-wave DFT calculation with GGA-PBE was carried out for a relaxed Ba2HoAlTe5 crystal.

The structure in CIF format:
```
data_Ba2HoAlTe5
_chemical_formula_sum 'Ba4 Ho2 Al2 Te10'
_symmetry_space_group_name_H-M 'P 1'
_symmetry_Int_Tables_number 1
_cell_length_a 4.497
_cell_length_b 10.515
_cell_length_c 14.308
_cell_angle_alpha 90.00
_cell_angle_beta 90.00
_cell_angle_gamma 102.35
loop_
_symmetry_equiv_pos_as_xyz
'x,y,z'
loop_
_atom_site_label
_atom_site_type_symbol
_atom_site_fract_x
_atom_site_fract_y
_atom_site_fract_z
Te1 Te 0.650 0.299 0.507
Te2 Te 0.704 0.408 0.170
Te3 Te 0.296 0.592 0.670
Te4 Te 0.952 0.904 0.536
Te5 Te 0.311 0.623 0.373
Te6 Te 0.689 0.377 0.873
Te7 Te 0.048 0.096 0.036
Te8 Te 0.501 0.003 0.772
Te9 Te 0.350 0.701 0.007
Te10 Te 0.499 0.997 0.272
Al1 Al 0.564 0.128 0.929
Al2 Al 0.436 0.872 0.429
Ba1 Ba 0.878 0.756 0.187
Ba2 Ba 0.122 0.244 0.687
Ba3 Ba 0.875 0.750 0.824
Ba4 Ba 0.125 0.250 0.324
Ho1 Ho 0.205 0.411 0.026
Ho2 Ho 0.795 0.589 0.526
```

formation energy (no corrections): -1.34 eV/atom

***

Number 1: electronic total energy -0.0909 Ha/atom. Number 2: electronic total energy -0.0526 Ha/atom. Number 3: electronic total energy -0.0926 Ha/atom. Number 4: electronic total energy -0.1384 Ha/atom. Number 5: electronic total energy -0.1313 Ha/atom. Number 6: electronic total energy -0.2647 Ha/atom. Number 7: electronic total energy -0.2722 Ha/atom. Number 8: electronic total energy -0.2051 Ha/atom. Number 9: electronic total energy -0.2024 Ha/atom. Number 10: electronic total energy -0.1842 Ha/atom. Number 11: electronic total energy -0.1847 Ha/atom. Number 12: electronic total energy -0.1629 Ha/atom.